(1)
Crystalline KSc2Cl at its relaxed geometry. Source: Alexandria, functional PBE.

offset from the most stable computed form	93	meV per atom
uncorrected formation energy	-489	meV/atom
space-group type	No. 99
DFT total energy	-17.56	eV for the cell shown

a b c (Å): 3.3758 3.3758 9.6352
angles (deg): 90.00 90.00 90.00
Positions (direct):
1 Cl 0.0000 0.0000 0.4726
2 Sc 0.5000 0.5000 0.2736
3 Sc 0.0000 0.0000 0.0534
4 K 0.5000 0.5000 0.7005

(2)
Crystalline KScCl2 at its relaxed geometry. Source: Alexandria, functional PBE.

offset from the most stable computed form	0	meV per atom
uncorrected formation energy	-1396	meV/atom
space-group type	No. 123
DFT total energy	-16.70	eV for the cell shown

a b c (Å): 5.1736 3.8948 5.1738
angles (deg): 90.00 90.00 90.00
Positions (direct):
1 Cl 0.0000 0.0002 0.8751
2 Cl 0.5000 0.9999 0.3749
3 K 0.0000 0.4998 0.3751
4 Sc 0.5000 0.0001 0.8749

Q: What is the formula in the first record?
A: KSc2Cl